1.
VASP calculation (SCAN) on a PBEsol-optimized structure of NaCa4Si8H16O28F.

magnetic moment = 0.0000 μB per atom
raw total energy = -8.454 eV per atom

a b c (Å): 8.7978 8.8052 15.8063
angles (deg): 90.00 90.00 90.00
Closest atoms and distances in Å follow each position.
Fractional positions:
Na: 0.5000 0.5000 0.0000  8 O 2.76
Na: 0.0000 0.0000 0.5000  8 O 2.76
Ca: 0.6207 0.2507 0.5000  6 O 2.39-2.46, 1 F 2.44
Ca: 0.3793 0.7493 0.5000  6 O 2.39-2.46, 1 F 2.44
Ca: 0.1207 0.2493 0.0000  6 O 2.39-2.46, 1 F 2.44
Ca: 0.8793 0.7507 0.0000  6 O 2.39-2.46, 1 F 2.44
Ca: 0.2504 0.3792 0.5000  6 O 2.39-2.46, 1 F 2.44
Ca: 0.7496 0.6208 0.5000  6 O 2.39-2.46, 1 F 2.44
Ca: 0.7504 0.1208 0.0000  6 O 2.39-2.46, 1 F 2.44
Ca: 0.2496 0.8792 0.0000  6 O 2.39-2.46, 1 F 2.44
Si: 0.7351 0.4205 0.6881  4 O 1.60-1.64
Si: 0.2649 0.5795 0.6881  4 O 1.60-1.64
Si: 0.2351 0.0795 0.8119  4 O 1.60-1.64
Si: 0.7649 0.9205 0.8119  4 O 1.60-1.64
Si: 0.2649 0.5795 0.3119  4 O 1.60-1.64
Si: 0.7351 0.4205 0.3119  4 O 1.60-1.64
Si: 0.7649 0.9205 0.1881  4 O 1.60-1.64
Si: 0.2351 0.0795 0.1881  4 O 1.60-1.64
Si: 0.9202 0.2347 0.8119  4 O 1.60-1.64
Si: 0.0798 0.7653 0.8119  4 O 1.60-1.64
Si: 0.4202 0.2653 0.6881  4 O 1.60-1.64
Si: 0.5798 0.7347 0.6881  4 O 1.60-1.64
Si: 0.0798 0.7653 0.1881  4 O 1.60-1.64
Si: 0.9202 0.2347 0.1881  4 O 1.60-1.64
Si: 0.5798 0.7347 0.3119  4 O 1.60-1.64
Si: 0.4202 0.2653 0.3119  4 O 1.60-1.64
H: 0.9461 0.3207 0.5872  1 O 1.02
H: 0.0539 0.6793 0.5872  1 O 1.02
H: 0.4461 0.1793 0.9128  1 O 1.02
H: 0.5539 0.8207 0.9128  1 O 1.02
H: 0.0539 0.6793 0.4128  1 O 1.02
H: 0.9461 0.3207 0.4128  1 O 1.02
H: 0.5539 0.8207 0.0872  1 O 1.02
H: 0.4461 0.1793 0.0872  1 O 1.02
H: 0.6787 0.9462 0.5872  1 O 1.02
H: 0.3213 0.0538 0.5872  1 O 1.02
H: 0.1787 0.5538 0.9128  1 O 1.02
H: 0.8213 0.4462 0.9128  1 O 1.02
H: 0.3213 0.0538 0.4128  1 O 1.02
H: 0.6787 0.9462 0.4128  1 O 1.02
H: 0.8213 0.4462 0.0872  1 O 1.02
H: 0.1787 0.5538 0.0872  1 O 1.02
H: 0.7432 0.0729 0.6481  1 O 0.98
H: 0.2568 0.9271 0.6481  1 O 0.98
H: 0.2432 0.4271 0.8519  1 O 0.98
H: 0.7568 0.5729 0.8519  1 O 0.98
H: 0.2568 0.9271 0.3519  1 O 0.98
H: 0.7432 0.0729 0.3519  1 O 0.98
H: 0.7568 0.5729 0.1481  1 O 0.98
H: 0.2432 0.4271 0.1481  1 O 0.98
H: 0.0728 0.2558 0.6480  1 O 0.98
H: 0.9272 0.7442 0.6480  1 O 0.98
H: 0.5728 0.2442 0.8520  1 O 0.98
H: 0.4272 0.7558 0.8520  1 O 0.98
H: 0.9272 0.7442 0.3520  1 O 0.98
H: 0.0728 0.2558 0.3520  1 O 0.98
H: 0.4272 0.7558 0.1480  1 O 0.98
H: 0.5728 0.2442 0.1480  1 O 0.98
O: 0.8760 0.3756 0.7500  2 Si 1.63
O: 0.1240 0.6244 0.7500  2 Si 1.63
O: 0.3760 0.1244 0.7500  2 Si 1.63
O: 0.6240 0.8756 0.7500  2 Si 1.63
O: 0.1240 0.6244 0.2500  2 Si 1.63
O: 0.8760 0.3756 0.2500  2 Si 1.63
O: 0.6240 0.8756 0.2500  2 Si 1.63
O: 0.3760 0.1244 0.2500  2 Si 1.63
O: 0.5933 0.3103 0.7162  2 Si 1.63-1.64
O: 0.4067 0.6897 0.7162  2 Si 1.63-1.64
O: 0.0933 0.1897 0.7838  2 Si 1.63-1.64
O: 0.9067 0.8103 0.7838  2 Si 1.63-1.64
O: 0.4067 0.6897 0.2838  2 Si 1.63-1.64
O: 0.5933 0.3103 0.2838  2 Si 1.63-1.64
O: 0.9067 0.8103 0.2162  2 Si 1.63-1.64
O: 0.0933 0.1897 0.2162  2 Si 1.63-1.64
O: 0.8087 0.0938 0.7839  2 Si 1.64
O: 0.1913 0.9062 0.7839  2 Si 1.64
O: 0.3087 0.4062 0.7161  2 Si 1.64
O: 0.6913 0.5938 0.7161  2 Si 1.64
O: 0.1913 0.9062 0.2161  2 Si 1.64
O: 0.8087 0.0938 0.2161  2 Si 1.64
O: 0.6913 0.5938 0.2839  2 Si 1.64
O: 0.3087 0.4062 0.2839  2 Si 1.64
O: 0.7767 0.4036 0.5897  1 Si 1.60, 1 H 1.66
O: 0.2233 0.5964 0.5897  1 Si 1.60, 1 H 1.66
O: 0.2767 0.0964 0.9103  1 Si 1.60, 1 H 1.66
O: 0.7233 0.9036 0.9103  1 Si 1.60, 1 H 1.66
O: 0.2233 0.5964 0.4103  1 Si 1.60, 1 H 1.66
O: 0.7767 0.4036 0.4103  1 Si 1.60, 1 H 1.66
O: 0.7233 0.9036 0.0897  1 Si 1.60, 1 H 1.66
O: 0.2767 0.0964 0.0897  1 Si 1.60, 1 H 1.66
O: 0.9035 0.2764 0.9102  1 Si 1.60, 1 H 1.66
O: 0.0965 0.7236 0.9102  1 Si 1.60, 1 H 1.66
O: 0.4035 0.2236 0.5898  1 Si 1.60, 1 H 1.66
O: 0.5965 0.7764 0.5898  1 Si 1.60, 1 H 1.66
O: 0.0965 0.7236 0.0898  1 Si 1.60, 1 H 1.66
O: 0.9035 0.2764 0.0898  1 Si 1.60, 1 H 1.66
O: 0.5965 0.7764 0.4102  1 Si 1.60, 1 H 1.66
O: 0.4035 0.2236 0.4102  1 Si 1.60, 1 H 1.66
O: 0.7325 0.0486 0.5877  2 H 0.98-1.02
O: 0.2675 0.9514 0.5877  2 H 0.98-1.02
O: 0.2325 0.4514 0.9123  2 H 0.98-1.02
O: 0.7675 0.5486 0.9123  2 H 0.98-1.02
O: 0.2675 0.9514 0.4123  2 H 0.98-1.02
O: 0.7325 0.0486 0.4123  2 H 0.98-1.02
O: 0.7675 0.5486 0.0877  2 H 0.98-1.02
O: 0.2325 0.4514 0.0877  2 H 0.98-1.02
O: 0.0484 0.2666 0.5876  2 H 0.98-1.02
O: 0.9516 0.7334 0.5876  2 H 0.98-1.02
O: 0.5484 0.2334 0.9124  2 H 0.98-1.02
O: 0.4516 0.7666 0.9124  2 H 0.98-1.02
O: 0.9516 0.7334 0.4124  2 H 0.98-1.02
O: 0.0484 0.2666 0.4124  2 H 0.98-1.02
O: 0.4516 0.7666 0.0876  2 H 0.98-1.02
O: 0.5484 0.2334 0.0876  2 H 0.98-1.02
F: 0.5000 0.5000 0.5000  4 Ca 2.44
F: 0.0000 0.0000 0.0000  4 Ca 2.44

=====

2.
VASP calculation (SCAN) on a PBEsol-optimized structure of Ca2SnHF.

magnetic moment = 0.0827 μB per atom
raw total energy = -13.004 eV per atom

a b c (Å): 4.5390 5.0482 5.0482
angles (deg): 90.00 90.00 90.00
Closest atoms and distances in Å follow each position.
Fractional positions:
H: 0.5000 0.5000 0.5000  8 Ca 3.39, 4 Sn 3.57
Ca: 0.0000 0.0000 0.5000  2 F 2.52
Ca: 0.0000 0.5000 0.0000  2 F 2.52
Sn: 0.5000 0.0000 0.0000  2 F 2.27
F: 0.0000 0.0000 0.0000  2 Sn 2.27, 4 Ca 2.52

=====

3.
VASP calculation (SCAN) on a PBEsol-optimized structure of Ca2HfF.

formation energy (no corrections) = 3.56 kcal/mol of atoms
magnetic moment = 1.2560 μB per atom
raw total energy = -21.231 eV per atom

a b c (Å): 5.3598 5.3598 5.3598
angles (deg): 60.00 60.00 60.00
Closest atoms and distances in Å follow each position.
Fractional positions:
Ca: 0.2500 0.2500 0.2500  4 F 3.28, 4 Hf 3.28
Ca: 0.7500 0.7500 0.7500  4 Hf 3.28, 4 F 3.28
Hf: 0.5000 0.5000 0.5000  8 Ca 3.28
F: 0.0000 0.0000 0.0000  8 Ca 3.28

=====

4.
VASP calculation (SCAN) on a PBEsol-optimized structure of Na2CaHfF.

formation energy (no corrections) = 23.97 kcal/mol of atoms
magnetic moment = 0.8531 μB per atom
raw total energy = -15.822 eV per atom

a b c (Å): 5.8084 6.2464 6.2464
angles (deg): 90.00 90.00 90.00
Closest atoms and distances in Å follow each position.
Fractional positions:
Na: 0.0000 0.0000 0.5000  2 Ca 3.12
Na: 0.0000 0.5000 0.0000  2 Ca 3.12
Ca: 0.0000 0.0000 0.0000  2 Hf 2.90, 4 Na 3.12
Hf: 0.5000 0.0000 0.0000  2 Ca 2.90
F: 0.5000 0.5000 0.5000  8 Na 4.26, 4 Hf 4.42

=====

5.
VASP calculation (SCAN) on a PBEsol-optimized structure of CaHfO2F.

formation energy (no corrections) = -38.63 kcal/mol of atoms
magnetic moment = 0.1893 μB per atom
raw total energy = -19.343 eV per atom

a b c (Å): 3.9350 4.2464 4.2464
angles (deg): 90.00 90.00 90.00
Closest atoms and distances in Å follow each position.
Fractional positions:
Ca: 0.0000 0.0000 0.0000  2 F 1.97, 4 O 2.12
Hf: 0.5000 0.5000 0.5000  8 O 2.89, 4 F 3.00
O: 0.0000 0.0000 0.5000  2 Ca 2.12
O: 0.0000 0.5000 0.0000  2 Ca 2.12
F: 0.5000 0.0000 0.0000  2 Ca 1.97

=====

6.
VASP calculation (SCAN) on a PBEsol-optimized structure of CaHfOF2.

formation energy (no corrections) = -45.40 kcal/mol of atoms
magnetic moment = 0.3606 μB per atom
raw total energy = -19.098 eV per atom

a b c (Å): 4.0887 4.0887 4.6196
angles (deg): 90.00 90.00 90.00
Closest atoms and distances in Å follow each position.
Fractional positions:
Ca: 0.0000 0.0000 0.0000  4 F 2.04
Hf: 0.5000 0.5000 0.5000  4 O 2.89, 8 F 3.08
O: 0.0000 0.0000 0.5000  2 Ca 2.31
F: 0.0000 0.5000 0.0000  2 Ca 2.04
F: 0.5000 0.0000 0.0000  2 Ca 2.04

=====

7.
VASP calculation (SCAN) on a PBEsol-optimized structure of RbCaHf2F.

formation energy (no corrections) = 26.52 kcal/mol of atoms
magnetic moment = 0.5513 μB per atom
raw total energy = -30.708 eV per atom

a b c (Å): 4.6180 5.5865 5.5865
angles (deg): 90.00 90.00 90.00
Closest atoms and distances in Å follow each position.
Fractional positions:
Ca: 0.5000 0.5000 0.5000  8 Hf 3.62, 4 F 3.95
Hf: 0.0000 0.0000 0.5000  2 Rb 2.79
Hf: 0.0000 0.5000 0.0000  2 Rb 2.79
Rb: 0.0000 0.0000 0.0000  2 F 2.31
F: 0.5000 0.0000 0.0000  2 Rb 2.31

=====

8.
VASP calculation (SCAN) on a PBEsol-optimized structure of Ca2IF.

formation energy (no corrections) = -41.00 kcal/mol of atoms
magnetic moment = 0.0003 μB per atom
raw total energy = -16.680 eV per atom

a b c (Å): 6.6240 7.1126 6.6240
angles (deg): 117.75 90.00 117.75
Closest atoms and distances in Å follow each position.
Fractional positions:
I: 0.2500 0.5000 0.7500  4 Ca 3.14
I: 0.0000 0.0000 0.0000  4 Ca 3.14
Ca: 0.4744 0.2500 0.3750  2 F 2.35
Ca: 0.7756 0.2500 0.8750  2 F 2.35
Ca: 0.1250 0.7500 0.5256  2 F 2.35
Ca: 0.6250 0.7500 0.2244  2 F 2.35
F: 0.7500 0.5000 0.2500  4 Ca 2.35
F: 0.5000 0.0000 0.5000  4 Ca 2.35

=====

9.
VASP calculation (SCAN) on a PBEsol-optimized structure of CaTeI2F.

formation energy (no corrections) = -11.02 kcal/mol of atoms
magnetic moment = 0.5865 μB per atom
raw total energy = -25.266 eV per atom

a b c (Å): 5.8680 5.8680 6.1965
angles (deg): 90.00 90.00 90.00
Closest atoms and distances in Å follow each position.
Fractional positions:
I: 0.0000 0.5000 0.0000  2 Ca 2.93
I: 0.5000 0.0000 0.0000  2 Ca 2.93
Ca: 0.0000 0.0000 0.0000  4 I 2.93, 2 Te 3.10
Te: 0.0000 0.0000 0.5000  2 Ca 3.10
F: 0.5000 0.5000 0.5000  4 Te 4.15, 8 I 4.27

=====

10.
VASP calculation (SCAN) on a PBEsol-optimized structure of Ca2TlIF.

formation energy (no corrections) = -32.19 kcal/mol of atoms
magnetic moment = 0.0081 μB per atom
raw total energy = -27.789 eV per atom

a b c (Å): 4.7976 4.7976 5.7934
angles (deg): 90.00 90.00 90.00
Closest atoms and distances in Å follow each position.
Fractional positions:
I: 0.0000 0.0000 0.5000  2 F 2.90
Tl: 0.5000 0.5000 0.5000  4 I 3.39, 8 Ca 3.76
Ca: 0.0000 0.5000 0.0000  2 F 2.40
Ca: 0.5000 0.0000 0.0000  2 F 2.40
F: 0.0000 0.0000 0.0000  4 Ca 2.40

=====

11.
VASP calculation (SCAN) on a PBEsol-optimized structure of CaZrIF2.

formation energy (no corrections) = -43.93 kcal/mol of atoms
magnetic moment = 0.5117 μB per atom
raw total energy = -18.742 eV per atom

a b c (Å): 4.2710 4.2710 6.4372
angles (deg): 90.00 90.00 90.00
Closest atoms and distances in Å follow each position.
Fractional positions:
I: 0.0000 0.0000 0.5000  4 Ca 3.02, 2 Zr 3.22
Ca: 0.5000 0.5000 0.5000  4 I 3.02
Zr: 0.0000 0.0000 0.0000  4 F 2.14
F: 0.0000 0.5000 0.0000  2 Zr 2.14
F: 0.5000 0.0000 0.0000  2 Zr 2.14

=====

12.
VASP calculation (SCAN) on a PBEsol-optimized structure of CaInF3.

formation energy (no corrections) = -71.23 kcal/mol of atoms
magnetic moment = 0.0025 μB per atom
raw total energy = -13.823 eV per atom

a b c (Å): 4.4218 4.4218 4.4218
angles (deg): 90.00 90.00 90.00
Closest atoms and distances in Å follow each position.
Fractional positions:
Ca: 0.0000 0.0000 0.0000  6 F 2.21
In: 0.5000 0.5000 0.5000  12 F 3.13
F: 0.0000 0.5000 0.0000  2 Ca 2.21
F: 0.0000 0.0000 0.5000  2 Ca 2.21
F: 0.5000 0.0000 0.0000  2 Ca 2.21